Entry 1:
Density functional theory data (GGA-PBE) for a geometry-optimized MnHRuAu structure.

POSCAR file:
```
MnHRuAu
1.0
4.939 -1.430 0.000
4.939 1.430 0.000
-1.180 0.000 3.546
Mn H Ru Au
1 1 1 1
Cartesian
0.000 0.000 0.000 Mn
4.909 0.000 1.201 H
3.235 0.000 1.492 Ru
6.036 0.000 2.760 Au
```

## Properties
crystal system	monoclinic
M_tot	2.9	μB/cell
ΔE to the lowest computed polymorph	93.0	meV per atom
SG	Cm
density of states at the Fermi level	0.7565	states/eV per atom


Entry 2:
Density functional theory data (GGA-PBE) for a geometry-optimized In4ICl3 structure.

POSCAR file:
```
In4ICl3
1.0
6.610 -4.645 0.000
6.610 4.645 0.000
-0.010 0.000 4.676
In I Cl
4 1 3
Cartesian
6.610 2.499 0.000 In
3.181 0.000 2.341 In
10.027 0.000 2.335 In
6.610 -2.499 0.000 In
6.604 0.000 2.338 I
-0.005 0.000 2.338 Cl
3.305 2.323 0.000 Cl
3.305 -2.323 0.000 Cl
```

## Properties
crystal system	monoclinic
M_tot	0.0	μB/cell
formation energy from raw total energies	-0.6940	eV/atom
ΔE to the lowest computed polymorph	0.0	meV per atom
SG	C2/m


Entry 3:
Density functional theory data (GGA-PBE) for a geometry-optimized BiSb2O6 structure.

POSCAR file:
```
BiSb2O6
1.0
6.525 0.000 0.000
-3.262 5.651 0.000
0.000 0.000 2.969
Bi Sb O
1 2 6
Cartesian
0.000 0.000 0.000 Bi
0.000 3.767 2.189 Sb
3.262 1.884 0.780 Sb
-1.462 4.028 0.694 O
0.505 2.370 0.694 O
2.305 0.748 2.275 O
0.957 4.902 0.694 O
2.758 3.280 2.275 O
4.724 1.622 2.275 O
```

## Properties
crystal system	trigonal
M_tot	0.0	μB/cell
formation energy from raw total energies	-1.0173	eV/atom
ΔE to the lowest computed polymorph	188.0	meV per atom
SG	P-3
density of states at the Fermi level	0.1080	states/eV per atom


Entry 4:
Density functional theory data (GGA-PBE) for a geometry-optimized U3Ga2Pt4 structure.

POSCAR file:
```
U3Ga2Pt4
1.0
5.177 -2.301 0.000
5.177 2.301 0.000
-4.560 0.000 7.156
U Ga Pt
3 2 4
Cartesian
0.000 0.000 0.000 U
2.268 0.000 2.382 U
3.525 0.000 4.775 U
0.491 0.000 4.911 Ga
5.302 0.000 2.246 Ga
-1.050 0.000 2.741 Pt
-1.349 0.000 6.665 Pt
7.142 0.000 0.492 Pt
6.843 0.000 4.416 Pt
```

## Properties
crystal system	monoclinic
M_tot	5.5	μB/cell
SG	C2/m
energy of formation from the pure elements	-6.461	eV/f.u.
density of states at the Fermi level	1.3744	states/eV per atom


Entry 5:
Density functional theory data (GGA-PBE) for a geometry-optimized Sr2CaMg12In3 structure.

POSCAR file:
```
Sr2CaMg12In3
1.0
4.415 2.549 8.572
-4.415 2.549 8.572
0.000 -5.099 8.572
Sr Ca Mg In
2 1 12 3
Cartesian
0.000 0.000 2.107 Sr
0.000 0.000 23.609 Sr
0.000 0.000 12.858 Ca
-2.797 -1.615 12.001 Mg
0.000 -1.808 10.355 Mg
-1.566 0.904 10.355 Mg
0.000 -3.230 13.715 Mg
-2.797 1.615 13.715 Mg
-1.566 -0.904 15.361 Mg
1.566 0.904 10.355 Mg
2.797 -1.615 12.001 Mg
0.000 3.230 12.001 Mg
1.566 -0.904 15.361 Mg
0.000 1.808 15.361 Mg
2.797 1.615 13.715 Mg
-2.208 -1.275 8.572 In
-2.208 1.275 17.144 In
0.000 2.549 8.572 In
```

## Properties
crystal system	trigonal
M_tot	0.0	μB/cell
SG	R-3m
energy of formation from the pure elements	3.768	eV/f.u.
density of states at the Fermi level	0.4500	states/eV per atom


Entry 6:
Density functional theory data (GGA-PBE) for a geometry-optimized Tb4SmHg3 structure.

POSCAR file:
```
Tb4SmHg3
1.0
2.636 1.522 9.287
-2.636 1.522 9.287
0.000 -3.044 9.287
Tb Sm Hg
4 1 3
Cartesian
0.000 0.000 3.036 Tb
0.000 0.000 10.301 Tb
0.000 0.000 17.560 Tb
0.000 0.000 24.825 Tb
0.000 0.000 13.930 Sm
0.000 0.000 0.000 Hg
0.000 0.000 6.500 Hg
0.000 0.000 21.360 Hg
```

## Properties
crystal system	trigonal
M_tot	0.5	μB/cell
SG	R-3m
energy of formation from the pure elements	-2.361	eV/f.u.
density of states at the Fermi level	1.0202	states/eV per atom


Question: M_tot of number 3 (BiSb2O6)?
Answer: 0.0 μB/cell